Density functional theory data (PBE) for Li3ScTe after structural relaxation.

The value obtained for the calculated total energy is -3.040 eV per atom. For the formation energy without anion corrections, the calculation gives 0.003 eV per atom. The calculated volume is 134.9 Å³/cell. The distance to the lowest polymorph of the same formula comes out at 0.00 kcal/mol of atoms.

Cell lengths 5.1291, 5.1291, 5.1291 Å; angles 90.00, 90.00, 90.00 degrees
With the nearest neighbours (Å) after each atom.
Space group Pm-3m (No. 221)
Unique sites:
1 Li 0.0000 0.0000 0.5000 x3  2 Te 2.56
2 Sc 0.5000 0.5000 0.5000 x1  12 Li 3.63
3 Te 0.0000 0.0000 0.0000 x1  6 Li 2.56